No. 1
{
  "formula": "Sm5Y6Sc",
  "functional": "PBE",
  "state": "relaxed",
  "lattice": [[-2.523, 5.047, 7.578], [2.523, -5.047, 7.578], [2.523, 5.047, -7.578]],
  "species": ["Sm", "Sm", "Sm", "Sm", "Sm", "Y", "Y", "Y", "Y", "Y", "Y", "Sc"],
  "fractional_positions": [[0.000, 0.000, 0.000], [0.166, 0.666, 0.500], [0.336, 0.336, 0.000], [0.664, 0.664, 0.000], [0.834, 0.334, 0.500], [0.087, 0.835, 0.253], [0.255, 0.500, 0.755], [0.418, 0.165, 0.253], [0.582, 0.835, 0.747], [0.745, 0.500, 0.245], [0.913, 0.165, 0.747], [0.500, 0.000, 0.500]],
  "sg": "Immm, No. 71",
  "formation_energy_mev_per_atom": 31.2
}

---

No. 2
{
  "formula": "BeAl2Cu",
  "functional": "PBE",
  "state": "relaxed",
  "lattice": [[1.389, 0.802, 8.005], [-1.389, 0.802, 8.005], [0.000, -1.604, 8.005]],
  "species": ["Be", "Al", "Al", "Cu"],
  "fractional_positions": [[0.000, 0.000, 0.000], [0.251, 0.251, 0.251], [0.749, 0.749, 0.749], [0.500, 0.500, 0.500]],
  "sg": "R-3m, No. 166",
  "formation_energy_mev_per_atom": 44.2
}

---

No. 3
{
  "formula": "SrTaRu2",
  "functional": "PBE",
  "state": "relaxed",
  "lattice": [[5.030, -1.613, 0.000], [5.030, 1.613, 0.000], [-1.514, 0.000, 5.317]],
  "species": ["Sr", "Ta", "Ru", "Ru"],
  "fractional_positions": [[0.000, 0.000, 0.000], [0.198, 0.198, 0.625], [0.495, 0.495, 0.478], [0.775, 0.775, 0.350]],
  "sg": "Cm, No. 8",
  "formation_energy_mev_per_atom": 359.2
}

---

No. 4
{
  "formula": "Pa2Te",
  "functional": "PBE",
  "state": "relaxed",
  "lattice": [[-2.048, 2.048, 4.676], [2.048, -2.048, 4.676], [2.048, 2.048, -4.676]],
  "species": ["Pa", "Pa", "Te"],
  "fractional_positions": [[0.143, 0.143, 0.000], [0.857, 0.857, 0.000], [0.500, 0.500, 0.000]],
  "sg": "I4/mmm, No. 139",
  "formation_energy_uncorrected_kj_per_mol_fu": -62
}

---

No. 5
{
  "formula": "Mn3AsPb",
  "functional": "PBE",
  "state": "relaxed",
  "lattice": [[5.133, 0.000, 0.000], [0.000, 5.133, 0.000], [0.000, 0.000, 5.133]],
  "species": ["Mn", "Mn", "Mn", "As", "Pb"],
  "fractional_positions": [[0.000, 0.000, 0.500], [0.000, 0.500, 0.000], [0.500, 0.000, 0.000], [0.500, 0.500, 0.500], [0.000, 0.000, 0.000]],
  "sg": "Pm-3m, No. 221",
  "formation_energy_mev_per_atom": 1316.4
}

---

No. 6
{
  "formula": "Sr3NbS6",
  "functional": "PBE",
  "state": "relaxed",
  "lattice": [[7.020, 0.000, 0.000], [0.000, 7.513, 0.000], [-6.811, 0.000, 9.908]],
  "species": ["Sr", "Sr", "Sr", "Sr", "Sr", "Sr", "Nb", "Nb", "S", "S", "S", "S", "S", "S", "S", "S", "S", "S", "S", "S"],
  "fractional_positions": [[0.000, 0.000, 0.000], [0.000, 0.500, 0.500], [0.283, 0.086, 0.750], [0.283, 0.414, 0.250], [0.717, 0.586, 0.750], [0.717, 0.914, 0.250], [0.500, 0.000, 0.500], [0.500, 0.500, 0.000], [0.142, 0.048, 0.276], [0.142, 0.452, 0.776], [0.281, 0.679, 0.063], [0.281, 0.821, 0.563], [0.409, 0.221, 0.075], [0.409, 0.279, 0.575], [0.591, 0.721, 0.425], [0.591, 0.779, 0.925], [0.719, 0.179, 0.437], [0.719, 0.321, 0.937], [0.858, 0.548, 0.224], [0.858, 0.952, 0.724]],
  "sg": "P2_1/c, No. 14",
  "formation_energy_uncorrected_kj_per_mol_fu": -1379
}

---

No. 7
{
  "formula": "YCuN2",
  "functional": "PBE",
  "state": "relaxed",
  "lattice": [[-2.255, 2.255, 5.513], [2.255, -2.255, 5.513], [2.255, 2.255, -5.513]],
  "species": ["Y", "Y", "Cu", "Cu", "N", "N", "N", "N"],
  "fractional_positions": [[0.000, 0.000, 0.000], [0.750, 0.250, 0.500], [0.250, 0.750, 0.500], [0.500, 0.500, 0.000], [0.188, 0.625, 0.063], [0.375, 0.438, 0.563], [0.562, 0.125, 0.937], [0.875, 0.812, 0.437]],
  "sg": "I-42d, No. 122",
  "formation_energy_uncorrected_kj_per_mol_fu": -31
}

---

No. 8
{
  "formula": "CeTmGeRh",
  "functional": "PBE",
  "state": "relaxed",
  "lattice": [[0.000, 3.517, 3.517], [3.517, 0.000, 3.517], [3.517, 3.517, 0.000]],
  "species": ["Ce", "Tm", "Ge", "Rh"],
  "fractional_positions": [[0.000, 0.000, 0.000], [0.500, 0.500, 0.500], [0.250, 0.250, 0.250], [0.750, 0.750, 0.750]],
  "sg": "F-43m, No. 216",
  "formation_energy_mev_per_atom": -664.0
}